Record 1
# PBE-GGA ThAg4Bi, relaxed
data_ThAg4Bi
_chemical_formula_sum 'Th4 Ag16 Bi4'
_cell_length_a 8.1372
_cell_length_b 8.1372
_cell_length_c 8.1372
_cell_angle_alpha 90.00
_cell_angle_beta 90.00
_cell_angle_gamma 90.00
_space_group_name_H-M_alt 'F -4 3 m'
_space_group_IT_number 216
_space_group_name_Hall 'F -4 2 3'
loop_
_atom_site_label
_atom_site_type_symbol
_atom_site_fract_x
_atom_site_fract_y
_atom_site_fract_z
Th1 Th 0.0000 0.0000 0.0000
Ag1 Ag 0.1254 0.1254 0.3746
Bi1 Bi 0.2500 0.2500 0.7500
# Energy of formation (meV/atom): -62



Record 2
# PBE-GGA Ti2Ag2Bi, relaxed
data_Ti2Ag2Bi
_chemical_formula_sum 'Ti4 Ag4 Bi2'
_cell_length_a 3.8622
_cell_length_b 3.8622
_cell_length_c 14.0786
_cell_angle_alpha 90.00
_cell_angle_beta 90.00
_cell_angle_gamma 90.00
_space_group_name_H-M_alt 'I 4/m m m'
_space_group_IT_number 139
_space_group_name_Hall '-I 4 2'
loop_
_atom_site_label
_atom_site_type_symbol
_atom_site_fract_x
_atom_site_fract_y
_atom_site_fract_z
Ti1 Ti 0.0000 0.0000 0.0959
Ag1 Ag 0.0000 0.5000 0.2500
Bi1 Bi 0.0000 0.0000 0.5000
# Energy of formation (meV/atom): 262



Record 3
# PBE-GGA Ti2Ag2Bi, relaxed
data_Ti2Ag2Bi
_chemical_formula_sum 'Ti4 Ag4 Bi2'
_cell_length_a 7.9698
_cell_length_b 7.9698
_cell_length_c 3.1609
_cell_angle_alpha 90.00
_cell_angle_beta 90.00
_cell_angle_gamma 90.00
_space_group_name_H-M_alt 'P 4/m b m'
_space_group_IT_number 127
_space_group_name_Hall '-P 4 2ab'
loop_
_atom_site_label
_atom_site_type_symbol
_atom_site_fract_x
_atom_site_fract_y
_atom_site_fract_z
Ti1 Ti 0.1657 0.3343 0.0000
Ag1 Ag 0.1260 0.6260 0.5000
Bi1 Bi 0.0000 0.0000 0.5000
# Energy of formation (meV/atom): 230



Record 4
# PBE-GGA TiAgBi, relaxed
data_TiAgBi
_chemical_formula_sum 'Ti6 Ag6 Bi6'
_cell_length_a 4.6034
_cell_length_b 4.6034
_cell_length_c 23.4076
_cell_angle_alpha 90.00
_cell_angle_beta 90.00
_cell_angle_gamma 120.00
_space_group_name_H-M_alt 'R -3 m'
_space_group_IT_number 166
_space_group_name_Hall '-R 3 2"'
loop_
_atom_site_label
_atom_site_type_symbol
_atom_site_fract_x
_atom_site_fract_y
_atom_site_fract_z
Ti1 Ti 0.0000 0.0000 0.2059
Ag1 Ag 0.0000 0.0000 0.3578
Bi1 Bi 0.0000 0.0000 0.0833
# Energy of formation (meV/atom): 244



Record 5
# PBE-GGA Ti2AgBi2, relaxed
data_Ti2AgBi2
_chemical_formula_sum 'Ti4 Ag2 Bi4'
_cell_length_a 7.5783
_cell_length_b 7.5783
_cell_length_c 3.8517
_cell_angle_alpha 90.00
_cell_angle_beta 90.00
_cell_angle_gamma 90.00
_space_group_name_H-M_alt 'P 4/m b m'
_space_group_IT_number 127
_space_group_name_Hall '-P 4 2ab'
loop_
_atom_site_label
_atom_site_type_symbol
_atom_site_fract_x
_atom_site_fract_y
_atom_site_fract_z
Ti1 Ti 0.1330 0.3670 0.0000
Ag1 Ag 0.0000 0.0000 0.0000
Bi1 Bi 0.1653 0.6653 0.5000
# Energy of formation (meV/atom): 18



Record 6
# PBE-GGA TiAg3Bi, relaxed
data_TiAg3Bi
_chemical_formula_sum 'Ti1 Ag3 Bi1'
_cell_length_a 5.2926
_cell_length_b 5.2926
_cell_length_c 5.2926
_cell_angle_alpha 90.00
_cell_angle_beta 90.00
_cell_angle_gamma 90.00
_space_group_name_H-M_alt 'P m -3 m'
_space_group_IT_number 221
_space_group_name_Hall '-P 4 2 3'
loop_
_atom_site_label
_atom_site_type_symbol
_atom_site_fract_x
_atom_site_fract_y
_atom_site_fract_z
Ti1 Ti 0.0000 0.0000 0.0000
Ag1 Ag 0.0000 0.5000 0.5000
Bi1 Bi 0.5000 0.5000 0.5000
# Energy of formation (meV/atom): 1140